# Rb2CaAlGa

A relaxed structure of Rb2CaAlGa (PBEsol, Alexandria). Values from VASP.

```
&SYSTEM
  ibrav = 0, nat = 5, ntyp = 4
/
ATOMIC_SPECIES
Ga 69.72 Ga.upf
Rb 85.47 Rb.upf
Al 26.98 Al.upf
Ca 40.08 Ca.upf
ATOMIC_POSITIONS angstrom
Ga -0.531 2.273 -0.162
Rb -2.293 -0.352 2.579
Rb 2.481 0.744 2.307
Al 0.000 0.000 0.000
Ca -0.343 2.665 4.724
CELL_PARAMETERS angstrom
-1.062 4.546 -0.323
-4.586 -0.704 5.158
4.962 1.487 4.614
```

Results
The value obtained for the density of states at the Fermi level is 1.91 states/eV per cell. The crystal system is tetragonal. For the formation energy, the calculation gives 2.0 eV/f.u. As for the raw total energy: -9.58 eV per cell. Its total magnetization is 0.00 μB per cell.